A plane-wave DFT calculation with PBE-GGA was carried out for a geometry-optimized Cd2HgPt structure.

The structure in CIF format:
```
data_Cd2HgPt
_space_group_name_H-M_alt 'P 1'
_space_group_IT_number 1
_space_group_name_Hall 'P 1'
_cell_length_a 5.739
_cell_length_b 5.739
_cell_length_c 5.739
_cell_angle_alpha 46.52
_cell_angle_beta 46.52
_cell_angle_gamma 46.52
loop_
_atom_site_label
_atom_site_type_symbol
_atom_site_fract_x
_atom_site_fract_y
_atom_site_fract_z
_atom_site_occupancy
Cd1 Cd 0.000 0.000 0.000 1
Cd2 Cd 0.209 0.209 0.209 1
Hg1 Hg 0.427 0.427 0.427 1
Pt1 Pt 0.610 0.610 0.610 1
```

Volume: 91 Å³ per cell
Electronic total energy: -8.42 eV for the cell shown
SG: R3m, No. 160
N(E_F): 0.29 states/eV/atom


A plane-wave DFT calculation with PBE-GGA was carried out for a geometry-optimized TcAs2WI structure.

The structure in CIF format:
```
data_TcAs2WI
_space_group_name_H-M_alt 'P 1'
_space_group_IT_number 1
_space_group_name_Hall 'P 1'
_cell_length_a 4.711
_cell_length_b 4.711
_cell_length_c 5.285
_cell_angle_alpha 90.00
_cell_angle_beta 90.00
_cell_angle_gamma 90.00
loop_
_atom_site_label
_atom_site_type_symbol
_atom_site_fract_x
_atom_site_fract_y
_atom_site_fract_z
_atom_site_occupancy
Tc1 Tc 0.000 0.000 0.000 1
As1 As 0.000 0.500 0.000 1
As2 As 0.500 0.000 0.000 1
W1 W 0.000 0.000 0.500 1
I1 I 0.500 0.500 0.500 1
```

Offset from the most stable computed form: 3.5 kJ/mol of atoms
Volume: 117 Å³ per cell
Electronic total energy: -29.02 eV for the cell shown
Formation energy from raw total energies: 1030 meV per atom
SG: P4/mmm, No. 123
N(E_F): 0.96 states/eV/atom


A plane-wave DFT calculation with PBE-GGA was carried out for a geometry-optimized CeSm5Tl5 structure.

The structure in CIF format:
```
data_CeSm5Tl5
_space_group_name_H-M_alt 'P 1'
_space_group_IT_number 1
_space_group_name_Hall 'P 1'
_cell_length_a 8.880
_cell_length_b 8.880
_cell_length_c 7.017
_cell_angle_alpha 96.55
_cell_angle_beta 96.55
_cell_angle_gamma 39.87
loop_
_atom_site_label
_atom_site_type_symbol
_atom_site_fract_x
_atom_site_fract_y
_atom_site_fract_z
_atom_site_occupancy
Ce1 Ce 0.000 0.000 0.000 1
Sm1 Sm 0.000 0.000 0.500 1
Sm2 Sm 0.321 0.321 0.075 1
Sm3 Sm 0.360 0.360 0.587 1
Sm4 Sm 0.640 0.640 0.413 1
Sm5 Sm 0.679 0.679 0.925 1
Tl1 Tl 0.167 0.167 0.278 1
Tl2 Tl 0.172 0.172 0.733 1
Tl3 Tl 0.500 0.500 0.000 1
Tl4 Tl 0.828 0.828 0.267 1
Tl5 Tl 0.833 0.833 0.722 1
```

Volume: 352 Å³ per cell
Electronic total energy: -42.45 eV for the cell shown
SG: C2/m, No. 12
N(E_F): 1.62 states/eV/atom


A plane-wave DFT calculation with PBE-GGA was carried out for a geometry-optimized Hg2AsW structure.

The structure in CIF format:
```
data_Hg2AsW
_space_group_name_H-M_alt 'P 1'
_space_group_IT_number 1
_space_group_name_Hall 'P 1'
_cell_length_a 3.844
_cell_length_b 3.844
_cell_length_c 5.367
_cell_angle_alpha 90.00
_cell_angle_beta 90.00
_cell_angle_gamma 90.00
loop_
_atom_site_label
_atom_site_type_symbol
_atom_site_fract_x
_atom_site_fract_y
_atom_site_fract_z
_atom_site_occupancy
Hg1 Hg 0.000 0.000 0.247 1
Hg2 Hg 0.000 0.000 0.753 1
As1 As 0.500 0.500 0.500 1
W1 W 0.500 0.500 0.000 1
```

Volume: 79 Å³ per cell
Electronic total energy: -14.71 eV for the cell shown
SG: P4/mmm, No. 123
N(E_F): 0.56 states/eV/atom


A plane-wave DFT calculation with PBE-GGA was carried out for a geometry-optimized Ac2NdMo2N6 structure.

The structure in CIF format:
```
data_Ac2NdMo2N6
_space_group_name_H-M_alt 'P 1'
_space_group_IT_number 1
_space_group_name_Hall 'P 1'
_cell_length_a 7.273
_cell_length_b 7.273
_cell_length_c 7.273
_cell_angle_alpha 48.16
_cell_angle_beta 48.16
_cell_angle_gamma 48.16
loop_
_atom_site_label
_atom_site_type_symbol
_atom_site_fract_x
_atom_site_fract_y
_atom_site_fract_z
_atom_site_occupancy
Ac1 Ac 0.205 0.205 0.205 1
Ac2 Ac 0.795 0.795 0.795 1
Nd1 Nd 0.000 0.000 0.000 1
Mo1 Mo 0.401 0.401 0.401 1
Mo2 Mo 0.599 0.599 0.599 1
N1 N 0.232 0.739 0.739 1
N2 N 0.261 0.261 0.768 1
N3 N 0.261 0.768 0.261 1
N4 N 0.739 0.232 0.739 1
N5 N 0.739 0.739 0.232 1
N6 N 0.768 0.261 0.261 1
```

Volume: 196 Å³ per cell
Electronic total energy: -93.42 eV for the cell shown
Formation energy from raw total energies: -802 meV per atom
SG: R-3m, No. 166
N(E_F): 0.23 states/eV/atom


A plane-wave DFT calculation with PBE-GGA was carried out for a geometry-optimized NaPdS structure.

The structure in CIF format:
```
data_NaPdS
_space_group_name_H-M_alt 'P 1'
_space_group_IT_number 1
_space_group_name_Hall 'P 1'
_cell_length_a 4.568
_cell_length_b 3.764
_cell_length_c 7.180
_cell_angle_alpha 90.00
_cell_angle_beta 94.99
_cell_angle_gamma 90.00
loop_
_atom_site_label
_atom_site_type_symbol
_atom_site_fract_x
_atom_site_fract_y
_atom_site_fract_z
_atom_site_occupancy
Na1 Na 0.228 0.250 0.335 1
Na2 Na 0.772 0.750 0.665 1
Pd1 Pd 0.320 0.750 0.925 1
Pd2 Pd 0.680 0.250 0.075 1
S1 S 0.272 0.250 0.734 1
S2 S 0.728 0.750 0.266 1
```

Volume: 123 Å³ per cell
Electronic total energy: -24.54 eV for the cell shown
Formation energy from raw total energies: -543 meV per atom
SG: P2_1/m, No. 11
N(E_F): 0.34 states/eV/atom


A plane-wave DFT calculation with PBE-GGA was carried out for a geometry-optimized Ac2Sb3Pt4Rh structure.

The structure in CIF format:
```
data_Ac2Sb3Pt4Rh
_space_group_name_H-M_alt 'P 1'
_space_group_IT_number 1
_space_group_name_Hall 'P 1'
_cell_length_a 4.623
_cell_length_b 4.623
_cell_length_c 10.774
_cell_angle_alpha 90.00
_cell_angle_beta 90.00
_cell_angle_gamma 90.00
loop_
_atom_site_label
_atom_site_type_symbol
_atom_site_fract_x
_atom_site_fract_y
_atom_site_fract_z
_atom_site_occupancy
Ac1 Ac 0.000 0.500 0.245 1
Ac2 Ac 0.500 0.000 0.755 1
Sb1 Sb 0.000 0.000 0.000 1
Sb2 Sb 0.000 0.500 0.628 1
Sb3 Sb 0.500 0.000 0.372 1
Pt1 Pt 0.000 0.000 0.500 1
Pt2 Pt 0.000 0.500 0.871 1
Pt3 Pt 0.500 0.000 0.129 1
Pt4 Pt 0.500 0.500 0.500 1
Rh1 Rh 0.500 0.500 0.000 1
```

Volume: 230 Å³ per cell
Electronic total energy: -59.91 eV for the cell shown
Formation energy from raw total energies: -781 meV per atom
SG: P-4m2, No. 115
N(E_F): 0.91 states/eV/atom


A plane-wave DFT calculation with PBE-GGA was carried out for a geometry-optimized PrTm2Ag2 structure.

The structure in CIF format:
```
data_PrTm2Ag2
_space_group_name_H-M_alt 'P 1'
_space_group_IT_number 1
_space_group_name_Hall 'P 1'
_cell_length_a 10.749
_cell_length_b 10.749
_cell_length_c 3.566
_cell_angle_alpha 90.00
_cell_angle_beta 90.00
_cell_angle_gamma 160.76
loop_
_atom_site_label
_atom_site_type_symbol
_atom_site_fract_x
_atom_site_fract_y
_atom_site_fract_z
_atom_site_occupancy
Pr1 Pr 0.000 0.000 0.000 1
Tm1 Tm 0.179 0.821 0.000 1
Tm2 Tm 0.821 0.179 0.000 1
Ag1 Ag 0.399 0.601 0.500 1
Ag2 Ag 0.601 0.399 0.500 1
```

Offset from the most stable computed form: 2.6 kJ/mol of atoms
Volume: 136 Å³ per cell
Electronic total energy: -19.98 eV for the cell shown
SG: Cmmm, No. 65
N(E_F): 0.89 states/eV/atom


A plane-wave DFT calculation with PBE-GGA was carried out for a geometry-optimized Pm4VSn8 structure.

The structure in CIF format:
```
data_Pm4VSn8
_space_group_name_H-M_alt 'P 1'
_space_group_IT_number 1
_space_group_name_Hall 'P 1'
_cell_length_a 4.467
_cell_length_b 4.553
_cell_length_c 17.254
_cell_angle_alpha 90.00
_cell_angle_beta 90.00
_cell_angle_gamma 90.00
loop_
_atom_site_label
_atom_site_type_symbol
_atom_site_fract_x
_atom_site_fract_y
_atom_site_fract_z
_atom_site_occupancy
Pm1 Pm 0.000 0.000 0.000 1
Pm2 Pm 0.000 0.500 0.483 1
Pm3 Pm 0.500 0.000 0.787 1
Pm4 Pm 0.500 0.500 0.289 1
V1 V 0.000 0.500 0.704 1
Sn1 Sn 0.000 0.000 0.323 1
Sn2 Sn 0.000 0.000 0.621 1
Sn3 Sn 0.000 0.500 0.143 1
Sn4 Sn 0.000 0.500 0.857 1
Sn5 Sn 0.500 0.000 0.147 1
Sn6 Sn 0.500 0.000 0.443 1
Sn7 Sn 0.500 0.500 0.619 1
Sn8 Sn 0.500 0.500 0.973 1
```

Volume: 351 Å³ per cell
Electronic total energy: -66.83 eV for the cell shown
SG: Pmm2, No. 25
N(E_F): 0.54 states/eV/atom


A plane-wave DFT calculation with PBE-GGA was carried out for a geometry-optimized Zr4BeZn3 structure.

The structure in CIF format:
```
data_Zr4BeZn3
_space_group_name_H-M_alt 'P 1'
_space_group_IT_number 1
_space_group_name_Hall 'P 1'
_cell_length_a 3.286
_cell_length_b 3.286
_cell_length_c 13.325
_cell_angle_alpha 90.00
_cell_angle_beta 90.00
_cell_angle_gamma 90.00
loop_
_atom_site_label
_atom_site_type_symbol
_atom_site_fract_x
_atom_site_fract_y
_atom_site_fract_z
_atom_site_occupancy
Zr1 Zr 0.000 0.000 0.116 1
Zr2 Zr 0.000 0.000 0.371 1
Zr3 Zr 0.000 0.000 0.629 1
Zr4 Zr 0.000 0.000 0.884 1
Be1 Be 0.500 0.500 0.000 1
Zn1 Zn 0.500 0.500 0.243 1
Zn2 Zn 0.500 0.500 0.500 1
Zn3 Zn 0.500 0.500 0.757 1
```

Volume: 144 Å³ per cell
Electronic total energy: -43.54 eV for the cell shown
SG: P4/mmm, No. 123
N(E_F): 0.24 states/eV/atom


A plane-wave DFT calculation with PBE-GGA was carried out for a geometry-optimized CsBiN2F structure.

The structure in CIF format:
```
data_CsBiN2F
_space_group_name_H-M_alt 'P 1'
_space_group_IT_number 1
_space_group_name_Hall 'P 1'
_cell_length_a 4.473
_cell_length_b 4.473
_cell_length_c 4.903
_cell_angle_alpha 90.00
_cell_angle_beta 90.00
_cell_angle_gamma 90.00
loop_
_atom_site_label
_atom_site_type_symbol
_atom_site_fract_x
_atom_site_fract_y
_atom_site_fract_z
_atom_site_occupancy
Cs1 Cs 0.000 0.000 0.000 1
Bi1 Bi 0.500 0.500 0.500 1
N1 N 0.000 0.500 0.000 1
N2 N 0.500 0.000 0.000 1
F1 F 0.000 0.000 0.500 1
```

Volume: 98 Å³ per cell
Electronic total energy: -15.73 eV for the cell shown
Formation energy from raw total energies: 1505 meV per atom
SG: P4/mmm, No. 123
N(E_F): 0.53 states/eV/atom


A plane-wave DFT calculation with PBE-GGA was carried out for a geometry-optimized TbTmP2 structure.

The structure in CIF format:
```
data_TbTmP2
_space_group_name_H-M_alt 'P 1'
_space_group_IT_number 1
_space_group_name_Hall 'P 1'
_cell_length_a 6.903
_cell_length_b 6.903
_cell_length_c 6.903
_cell_angle_alpha 33.60
_cell_angle_beta 33.60
_cell_angle_gamma 33.60
loop_
_atom_site_label
_atom_site_type_symbol
_atom_site_fract_x
_atom_site_fract_y
_atom_site_fract_z
_atom_site_occupancy
Tb1 Tb 0.000 0.000 0.000 1
Tm1 Tm 0.500 0.500 0.500 1
P1 P 0.248 0.248 0.248 1
P2 P 0.752 0.752 0.752 1
```

Offset from the most stable computed form: 0.0 kJ/mol of atoms
Volume: 90 Å³ per cell
Electronic total energy: -26.35 eV for the cell shown
SG: R-3m, No. 166
N(E_F): 0.12 states/eV/atom


What did the eleventh record say?
A plane-wave DFT calculation with PBE-GGA was carried out for a geometry-optimized CsBiN2F structure.

The structure in CIF format:
```
data_CsBiN2F
_space_group_name_H-M_alt 'P 1'
_space_group_IT_number 1
_space_group_name_Hall 'P 1'
_cell_length_a 4.473
_cell_length_b 4.473
_cell_length_c 4.903
_cell_angle_alpha 90.00
_cell_angle_beta 90.00
_cell_angle_gamma 90.00
loop_
_atom_site_label
_atom_site_type_symbol
_atom_site_fract_x
_atom_site_fract_y
_atom_site_fract_z
_atom_site_occupancy
Cs1 Cs 0.000 0.000 0.000 1
Bi1 Bi 0.500 0.500 0.500 1
N1 N 0.000 0.500 0.000 1
N2 N 0.500 0.000 0.000 1
F1 F 0.000 0.000 0.500 1
```

Volume: 98 Å³ per cell
Electronic total energy: -15.73 eV for the cell shown
Formation energy from raw total energies: 1505 meV per atom
SG: P4/mmm, No. 123
N(E_F): 0.53 states/eV/atom


Question: Look up the electronic total energy of the fourth one.
Answer: -14.71 eV for the cell shown


Question: Number 5 is which compound?
Answer: Ac2NdMo2N6


What did the twelfth record say?
A plane-wave DFT calculation with PBE-GGA was carried out for a geometry-optimized TbTmP2 structure.

The structure in CIF format:
```
data_TbTmP2
_space_group_name_H-M_alt 'P 1'
_space_group_IT_number 1
_space_group_name_Hall 'P 1'
_cell_length_a 6.903
_cell_length_b 6.903
_cell_length_c 6.903
_cell_angle_alpha 33.60
_cell_angle_beta 33.60
_cell_angle_gamma 33.60
loop_
_atom_site_label
_atom_site_type_symbol
_atom_site_fract_x
_atom_site_fract_y
_atom_site_fract_z
_atom_site_occupancy
Tb1 Tb 0.000 0.000 0.000 1
Tm1 Tm 0.500 0.500 0.500 1
P1 P 0.248 0.248 0.248 1
P2 P 0.752 0.752 0.752 1
```

Offset from the most stable computed form: 0.0 kJ/mol of atoms
Volume: 90 Å³ per cell
Electronic total energy: -26.35 eV for the cell shown
SG: R-3m, No. 166
N(E_F): 0.12 states/eV/atom